(1)
Here is crystalline CeHo4Tm5 at its relaxed geometry from Alexandria via LeMat-Bulk. Energies are from PBE-GGA.

The formation energy comes out at 0.2646 eV/atom. The calculation puts the polymorph energy (0 for the lowest one) at 0 meV/atom. Its crystal system is monoclinic.

It has space group C2/m (No. 12), with a = 17.415 Å, b = 4.960 Å, c = 8.470 Å, α = 90.00°, β = 116.72° and γ = 90.00°. Symmetry generates all atoms from Ce at (0.000, 0.000, 0.000), Ho at (0.031, 0.500, 0.270), Ho at (0.177, 0.000, 0.422), Tm at (0.000, 0.000, 0.500), Tm at (0.161, 0.500, 0.701) and Tm at (0.177, 0.500, 0.119).


(2)
Here is crystalline Ce2Ho4Tm5 at its relaxed geometry from Alexandria via LeMat-Bulk. Energies are from PBE-GGA.

The formation energy comes out at 0.1027 eV/atom. The calculation puts the polymorph energy (0 for the lowest one) at 0 meV/atom. Its crystal system is monoclinic.

It has space group C2/m (No. 12), with a = 22.775 Å, b = 3.461 Å, c = 8.626 Å, α = 90.00°, β = 97.06° and γ = 90.00°. Symmetry generates all atoms from Ce at (0.187, 0.000, 0.434), Ho at (0.100, 0.500, 0.697), Ho at (0.130, 0.000, 0.055), Tm at (0.000, 0.500, 0.000), Tm at (0.037, 0.000, 0.347) and Tm at (0.236, 0.000, 0.823).